RbWOF2 | GGA+U | relaxed

Cell and atoms, written as POSCAR:
```
RbWOF2
1.0
4.374 0.000 0.000
0.000 4.374 0.000
0.000 0.000 4.243
Rb W O F
1 1 1 2
Direct
0.000 0.000 0.000
0.500 0.500 0.500
0.500 0.500 0.000
0.000 0.500 0.500
0.500 0.000 0.500
```

Summary:
Total DFT energy (no corrections): -27.5 eV per formula unit
Energy above the most stable polymorph in this dataset: 0 meV per atom